SrTl2AsS4: optimized geometry, PBE.

POSCAR file:
```
SrTl2AsS4
1.0
8.304 0.005 -0.235
-0.001 8.304 -0.235
-4.257 -4.260 6.112
Sr Tl As S
2 4 2 8
direct
0.000 0.500 0.000
0.000 0.500 0.500
0.500 0.000 0.000
0.500 0.000 0.500
0.000 0.000 0.500
0.500 0.500 0.000
0.500 0.500 0.500
0.000 0.000 0.000
0.223 0.774 0.998
0.726 0.277 0.502
0.274 0.723 0.498
0.777 0.226 0.002
0.750 0.750 0.955
0.750 0.750 0.545
0.250 0.250 0.455
0.250 0.250 0.045
```

Values from the calculation:
**DOS(E_F)**: 7.2 states/eV/cell
**Final energy**: -4.047 eV per atom
**Raw formation energy**: -0.60 eV/atom

ScMn3Nb: optimized geometry, PBE.

POSCAR file:
```
ScMn3Nb
1.0
-1.468 -1.686 -4.080
-3.122 -2.644 2.216
-3.121 3.437 -0.297
Sc Nb Mn
1 1 3
direct
0.500 0.500 0.500
0.000 0.000 0.000
0.000 0.500 0.000
0.000 0.000 0.500
0.500 0.000 0.000
```

Values from the calculation:
**DOS(E_F)**: 9.2 states/eV/cell
**Final energy**: -7.837 eV per atom
**Polymorph energy (0 for the lowest one)**: 0.0 kJ per mole of atoms
**ΔH_f (0 K)**: 4.7 eV per formula unit

Cs3TaSn: optimized geometry, PBE.

POSCAR file:
```
Cs3TaSn
1.0
7.021 0.000 0.000
0.000 7.021 0.000
0.000 0.000 7.021
Cs Sn Ta
3 1 1
direct
0.000 0.500 0.000
0.000 0.000 0.500
0.500 0.000 0.000
0.500 0.500 0.500
0.000 0.000 0.000
```

Values from the calculation:
**DOS(E_F)**: 3.0 states/eV/cell
**Final energy**: -2.310 eV per atom
**ΔH_f (0 K)**: 6.9 eV per formula unit

Sc2GaPd8: optimized geometry, PBE.

POSCAR file:
```
Sc2GaPd8
1.0
-0.563 2.554 3.645
1.573 -4.521 3.411
6.053 2.975 -3.911
Sc Ga Pd
2 1 8
direct
0.810 0.310 0.619
0.190 0.690 0.381
0.500 0.000 0.000
0.362 0.598 0.724
0.638 0.875 0.276
0.819 0.819 0.639
0.000 0.257 0.000
0.181 0.181 0.361
0.362 0.125 0.724
0.638 0.402 0.276
0.000 0.743 0.000
```

Values from the calculation:
**DOS(E_F)**: 4.0 states/eV/cell
**Final energy**: -5.876 eV per atom
**ΔH_f (0 K)**: -7.4 eV per formula unit

CaTmTlGa: optimized geometry, PBE.

POSCAR file:
```
CaTmTlGa
1.0
-4.081 -1.182 3.088
-3.737 -3.264 -1.722
-0.432 -4.815 2.054
Tl Tm Ca Ga
1 1 1 1
direct
0.750 0.750 0.750
0.000 0.000 0.000
0.500 0.500 0.500
0.250 0.250 0.250
```

Values from the calculation:
**DOS(E_F)**: 2.2 states/eV/cell
**Final energy**: -3.355 eV per atom
**Polymorph energy (0 for the lowest one)**: 5.0 kJ per mole of atoms
**ΔH_f (0 K)**: -1.6 eV per formula unit

AcLa2UN4: optimized geometry, PBE.

POSCAR file:
```
AcLa2UN4
1.0
-1.571 -1.796 -2.828
6.629 -0.729 -0.798
-0.340 -10.832 7.069
Ac La U N
2 4 2 8
direct
0.098 0.197 0.750
0.902 0.803 0.250
0.374 0.747 0.533
0.626 0.253 0.033
0.626 0.253 0.467
0.374 0.747 0.967
0.830 0.659 0.750
0.170 0.341 0.250
0.286 0.572 0.132
0.714 0.428 0.632
0.714 0.428 0.868
0.286 0.572 0.368
0.000 0.000 0.500
0.000 0.000 0.000
0.434 0.868 0.750
0.566 0.132 0.250
```

Values from the calculation:
**DOS(E_F)**: 12.7 states/eV/cell
**Final energy**: -8.355 eV per atom
**Raw formation energy**: -1.04 eV/atom

LaVPCl2: optimized geometry, PBE.

POSCAR file:
```
LaVPCl2
1.0
-1.351 1.301 -4.275
1.518 -4.066 -1.717
-4.577 -2.055 0.821
Cl V P La
2 1 1 1
direct
0.000 0.500 0.000
0.500 0.000 0.000
0.000 0.000 0.000
0.000 0.000 0.500
0.500 0.500 0.500
```

Values from the calculation:
**DOS(E_F)**: 2.6 states/eV/cell
**Final energy**: -5.614 eV per atom
**Polymorph energy (0 for the lowest one)**: 0.0 kJ per mole of atoms
**Raw formation energy**: -0.98 eV/atom

Tl2Sn2Sb2Au: optimized geometry, PBE.

POSCAR file:
```
Tl2Sn2Sb2Au
1.0
4.405 0.000 0.000
2.203 8.044 0.586
2.203 3.665 6.596
Tl Sn Sb Au
2 2 2 1
direct
0.516 0.262 0.706
0.484 0.738 0.294
0.189 0.730 0.892
0.811 0.270 0.108
0.172 0.341 0.315
0.828 0.659 0.685
0.000 0.000 0.000
```

Values from the calculation:
**DOS(E_F)**: 3.0 states/eV/cell
**Final energy**: -3.470 eV per atom
**Raw formation energy**: 0.00 eV/atom

Question: Which formula does entry 6 have?
Answer: AcLa2UN4

Question: What is the DOS(E_F) in the second record?
Answer: 9.2 states/eV/cell

What did the fifth record say?
CaTmTlGa: optimized geometry, PBE.

POSCAR file:
```
CaTmTlGa
1.0
-4.081 -1.182 3.088
-3.737 -3.264 -1.722
-0.432 -4.815 2.054
Tl Tm Ca Ga
1 1 1 1
direct
0.750 0.750 0.750
0.000 0.000 0.000
0.500 0.500 0.500
0.250 0.250 0.250
```

Values from the calculation:
**DOS(E_F)**: 2.2 states/eV/cell
**Final energy**: -3.355 eV per atom
**Polymorph energy (0 for the lowest one)**: 5.0 kJ per mole of atoms
**ΔH_f (0 K)**: -1.6 eV per formula unit

Question: Look up the DOS(E_F) of the first one.
Answer: 7.2 states/eV/cell